[1]
## Zn2Ag (PBE)

Data for an optimized crystal structure of Zn2Ag. Values from VASP.

Geometry as Quantum ESPRESSO input:
```
&SYSTEM
  ibrav = 0, nat = 3, ntyp = 2
/
ATOMIC_SPECIES
Zn 65.41 Zn.upf
Ag 107.87 Ag.upf
CELL_PARAMETERS angstrom
-1.4687 1.8828 4.2754
1.4687 -1.8828 4.2754
1.4687 1.8828 -4.2754
ATOMIC_POSITIONS angstrom
Zn 0.0000 0.0000 1.4596
Zn 0.0000 0.0000 7.0912
Ag 0.0000 0.0000 4.2754
```

As for the total energy: -5.43 eV per cell. The symmetry is Immm, No. 71. The total magnetic moment is 0.0 μB per formula unit. The formation energy is -0.01 eV per atom.

[2]
## SrPbCl2 (PBE)

Data for an optimized crystal structure of SrPbCl2. Values from VASP.

Geometry as Quantum ESPRESSO input:
```
&SYSTEM
  ibrav = 0, nat = 8, ntyp = 3
/
ATOMIC_SPECIES
Sr 87.62 Sr.upf
Pb 207.20 Pb.upf
Cl 35.45 Cl.upf
CELL_PARAMETERS angstrom
-4.1596 4.1596 3.6910
4.1596 -4.1596 3.6910
4.1596 4.1596 -3.6910
ATOMIC_POSITIONS angstrom
Sr 0.0000 0.0000 0.0000
Sr 0.0000 4.1596 1.8455
Pb 4.1596 0.0000 1.8455
Pb 0.0000 0.0000 3.6910
Cl 6.2394 1.8374 -0.9227
Cl 1.8374 2.0798 0.9227
Cl -2.0798 2.3222 2.7682
Cl 2.3222 2.0798 4.6137
```

As for the total energy: -27.92 eV per cell. The symmetry is I-42d, No. 122. The total magnetic moment is 0.0 μB per formula unit. The calculation puts the uncorrected formation energy at -1219 meV/atom. The excess energy over the best structure of this formula in the dataset comes out at 0.2511 eV/atom.